## Hg3Pd5Au3 (GGA-PBE)

Data for Hg3Pd5Au3 after structural relaxation.

```
Hg3Pd5Au3
1.0
8.256 0.000 0.000
-4.128 7.150 0.000
0.000 0.000 4.146
Hg Pd Au
3 5 3
Direct
0.000 0.579 0.000 Hg
0.421 0.421 0.000 Hg
0.579 0.000 0.000 Hg
0.000 0.374 0.500 Pd
0.333 0.667 0.500 Pd
0.374 0.000 0.500 Pd
0.626 0.626 0.500 Pd
0.667 0.333 0.500 Pd
0.000 0.803 0.500 Au
0.197 0.197 0.500 Au
0.803 0.000 0.500 Au
```

- Total moment: 0.00 μB per formula unit
- DFT formation energy: 282 meV per atom



## HgPd7Au4 (GGA-PBE)

Data for HgPd7Au4 after structural relaxation.

```
HgPd7Au4
1.0
5.091 -2.493 0.000
5.091 2.493 0.000
-4.866 0.000 8.639
Hg Pd Au
1 7 4
Direct
0.000 0.000 0.000 Hg
0.113 0.113 0.458 Pd
0.289 0.289 0.084 Pd
0.346 0.346 0.382 Pd
0.500 0.500 0.000 Pd
0.654 0.654 0.618 Pd
0.711 0.711 0.916 Pd
0.887 0.887 0.542 Pd
0.185 0.185 0.771 Au
0.414 0.414 0.688 Au
0.586 0.586 0.312 Au
0.815 0.815 0.229 Au
```

- Energy above the most stable polymorph in this dataset: 0.2140 eV/atom
- Total moment: 0.00 μB per formula unit
- DFT formation energy: 123 meV per atom



## Hg2Pd5Au2 (GGA-PBE)

Data for Hg2Pd5Au2 after structural relaxation.

```
Hg2Pd5Au2
1.0
-4.745 6.888 2.453
4.745 -6.888 2.453
4.745 6.888 -2.453
Hg Pd Au
4 10 4
Direct
0.170 0.041 0.129 Hg
0.412 0.041 0.371 Hg
0.588 0.959 0.629 Hg
0.830 0.959 0.871 Hg
0.101 0.000 0.601 Pd
0.101 0.500 0.101 Pd
0.300 0.000 0.800 Pd
0.300 0.500 0.300 Pd
0.500 0.000 0.000 Pd
0.500 0.500 0.500 Pd
0.700 0.000 0.200 Pd
0.700 0.500 0.700 Pd
0.899 0.000 0.399 Pd
0.899 0.500 0.899 Pd
0.000 0.500 0.500 Au
0.195 0.445 0.750 Au
0.500 0.500 0.000 Au
0.805 0.555 0.250 Au
```

- Energy above the most stable polymorph in this dataset: 0.0000 eV/atom
- Total moment: 0.00 μB per formula unit
- DFT formation energy: -20 meV per atom